Entry 1:
The following is a GGA-PBEsol calculation of an optimized crystal structure of Lu5Ni2Bi, from the Alexandria database.

The structure in POSCAR format:
```
Lu5Ni2Bi
1.0
-3.684 3.684 6.609
3.684 -3.684 6.609
3.684 3.684 -6.609
Lu Ni Bi
10 4 2
Cartesian
0.000 0.000 0.000
4.837 1.153 -1.751
1.153 2.532 -1.751
4.837 1.153 1.751
1.153 2.532 1.751
0.000 0.000 6.609
2.532 1.153 4.857
-1.153 2.532 4.857
2.532 1.153 8.360
-1.153 2.532 8.360
2.710 0.974 0.000
2.710 -0.974 6.609
0.974 4.658 0.000
0.974 2.710 6.609
0.000 0.000 3.304
0.000 0.000 9.913
```

Computed properties:
**Energy relative to the elements**: -0.50 eV per atom
**D(E_F)**: 6.66 states/eV/f.u.
**Total DFT energy (no corrections)**: -5.6152 eV/atom
**Magnetization**: 0.000 μB/atom
**Space group**: I4/mcm

---

Entry 2:
The following is a GGA-PBEsol calculation of an optimized crystal structure of Lu5BiPd2, from the Alexandria database.

The structure in POSCAR format:
```
Lu5BiPd2
1.0
-3.771 3.771 6.644
3.771 -3.771 6.644
3.771 3.771 -6.644
Lu Bi Pd
10 2 4
Cartesian
0.000 0.000 0.000
4.934 1.163 -1.861
1.163 2.608 -1.861
4.934 1.163 1.861
1.163 2.608 1.861
0.000 0.000 6.644
2.608 1.163 4.783
-1.163 2.608 4.783
2.608 1.163 8.505
-1.163 2.608 8.505
0.000 0.000 3.322
0.000 0.000 9.966
2.733 1.039 0.000
2.733 -1.039 6.644
1.039 4.810 0.000
1.039 2.733 6.644
```

Computed properties:
**Energy relative to the elements**: -0.72 eV per atom
**D(E_F)**: 5.13 states/eV/f.u.
**Total DFT energy (no corrections)**: -5.7930 eV/atom
**Magnetization**: 0.000 μB/atom
**Space group**: I4/mcm

---

Entry 3:
The following is a GGA-PBEsol calculation of an optimized crystal structure of Mg3Bi, from the Alexandria database.

The structure in POSCAR format:
```
Mg3Bi
1.0
4.572 0.000 0.000
0.000 4.572 0.000
0.000 0.000 4.572
Mg Bi
3 1
Cartesian
0.000 0.000 2.286
0.000 2.286 0.000
2.286 0.000 0.000
2.286 2.286 2.286
```

Computed properties:
**Energy relative to the elements**: -0.13 eV per atom
**D(E_F)**: 1.65 states/eV/f.u.
**Total DFT energy (no corrections)**: -2.4881 eV/atom
**Magnetization**: 0.000 μB/atom
**Space group**: Pm-3m

---

Entry 4:
The following is a GGA-PBEsol calculation of an optimized crystal structure of Mg3Bi, from the Alexandria database.

The structure in POSCAR format:
```
Mg3Bi
1.0
0.000 3.675 3.675
3.675 0.000 3.675
3.675 3.675 0.000
Mg Bi
3 1
Cartesian
0.000 0.000 0.000
1.838 1.838 1.838
5.513 5.513 5.513
3.675 3.675 3.675
```

Computed properties:
**Energy relative to the elements**: -0.04 eV per atom
**D(E_F)**: 1.82 states/eV/f.u.
**Total DFT energy (no corrections)**: -2.3989 eV/atom
**Magnetization**: 0.000 μB/atom
**Space group**: Fm-3m